1.
# CuTeN | the Alexandria database | PBE-GGA | relaxed
data_CuTeN
_symmetry_space_group_name_H-M 'P 1 21 1'
_symmetry_Int_Tables_number 4
_symmetry_space_group_name_Hall 'P 2yb'
_cell_length_a 4.781
_cell_length_b 4.675
_cell_length_c 5.348
_cell_angle_alpha 90.00
_cell_angle_beta 115.21
_cell_angle_gamma 90.00
loop_
_atom_site_label
_atom_site_fract_x
_atom_site_fract_y
_atom_site_fract_z
Cu1 0.149 0.000 0.177
Te1 0.404 0.141 0.725
N1 0.270 0.332 0.009
# Calculated density ... 6.30 g/cm³
# E_tot ... -4.661 eV per atom
# Formation energy (no corrections) ... 0.5272 eV per atom
# Energy above the lowest structure with this stoichiometry ... 0.037 eV/atom

***

2.
# AlP8 | the Alexandria database | PBE-GGA | relaxed
data_AlP8
_symmetry_space_group_name_H-M 'I 4/m m m'
_symmetry_Int_Tables_number 139
_symmetry_space_group_name_Hall '-I 4 2'
_cell_length_a 10.153
_cell_length_b 10.153
_cell_length_c 4.011
_cell_angle_alpha 90.00
_cell_angle_beta 90.00
_cell_angle_gamma 90.00
loop_
_atom_site_label
_atom_site_fract_x
_atom_site_fract_y
_atom_site_fract_z
Al1 0.000 0.000 0.000
P1 0.000 0.395 0.000
P2 0.112 0.112 0.500
# Calculated density ... 2.21 g/cm³
# E_tot ... -4.818 eV per atom

***

3.
# SrYCd2 | the Alexandria database | PBE-GGA | relaxed
data_SrYCd2
_symmetry_space_group_name_H-M 'P 4 m m'
_symmetry_Int_Tables_number 99
_symmetry_space_group_name_Hall 'P 4 -2'
_cell_length_a 3.948
_cell_length_b 3.948
_cell_length_c 8.015
_cell_angle_alpha 90.00
_cell_angle_beta 90.00
_cell_angle_gamma 90.00
loop_
_atom_site_label
_atom_site_fract_x
_atom_site_fract_y
_atom_site_fract_z
Sr1 0.000 0.000 0.000
Y1 0.500 0.500 0.348
Cd1 0.000 0.000 0.544
Cd2 0.500 0.500 0.748
# Calculated density ... 5.34 g/cm³
# E_tot ... -2.614 eV per atom

***

4.
# Sr2CoPt | the Alexandria database | PBE-GGA | relaxed
data_Sr2CoPt
_symmetry_space_group_name_H-M 'I m m 2'
_symmetry_Int_Tables_number 44
_symmetry_space_group_name_Hall 'I 2 -2'
_cell_length_a 4.297
_cell_length_b 4.409
_cell_length_c 13.748
_cell_angle_alpha 90.00
_cell_angle_beta 90.00
_cell_angle_gamma 90.00
loop_
_atom_site_label
_atom_site_fract_x
_atom_site_fract_y
_atom_site_fract_z
Sr1 0.000 0.000 0.000
Sr2 0.000 0.500 0.260
Co1 0.000 0.500 0.849
Pt1 0.000 0.000 0.416
# Calculated density ... 5.47 g/cm³
# E_tot ... -4.278 eV per atom

***

5.
# Li2Ce2ThSi2 | the Alexandria database | PBE-GGA | relaxed
data_Li2Ce2ThSi2
_symmetry_space_group_name_H-M 'R -3 m'
_symmetry_Int_Tables_number 166
_symmetry_space_group_name_Hall '-R 3 2"'
_cell_length_a 4.3592
_cell_length_b 4.3592
_cell_length_c 26.7368
_cell_angle_alpha 90.00
_cell_angle_beta 90.00
_cell_angle_gamma 120.00
loop_
_atom_site_label
_atom_site_fract_x
_atom_site_fract_y
_atom_site_fract_z
Li1 0.0000 0.0000 0.0896
Ce1 0.0000 0.0000 0.3581
Th1 0.0000 0.0000 0.5000
Si1 0.0000 0.0000 0.2368
# Calculated density ... 6.59 g/cm³
# E_tot ... -5.214 eV per atom
# Formation energy (no corrections) ... -0.3620 eV per atom

***

6.
# LaMg3Hg3 | the Alexandria database | PBE-GGA | relaxed
data_LaMg3Hg3
_symmetry_space_group_name_H-M 'P m -3 n'
_symmetry_Int_Tables_number 223
_symmetry_space_group_name_Hall '-P 4n 2 3'
_cell_length_a 7.482
_cell_length_b 7.482
_cell_length_c 7.482
_cell_angle_alpha 90.00
_cell_angle_beta 90.00
_cell_angle_gamma 90.00
loop_
_atom_site_label
_atom_site_fract_x
_atom_site_fract_y
_atom_site_fract_z
La1 0.000 0.000 0.000
Mg1 0.000 0.250 0.500
Hg1 0.000 0.500 0.250
# Calculated density ... 6.45 g/cm³
# E_tot ... -1.424 eV per atom
# Energy above the lowest structure with this stoichiometry ... 0.379 eV/atom

***

7.
# Cs2Hg6Rh | the Alexandria database | PBE-GGA | relaxed
data_Cs2Hg6Rh
_symmetry_space_group_name_H-M 'F m -3 m'
_symmetry_Int_Tables_number 225
_symmetry_space_group_name_Hall '-F 4 2 3'
_cell_length_a 10.516
_cell_length_b 10.516
_cell_length_c 10.516
_cell_angle_alpha 90.00
_cell_angle_beta 90.00
_cell_angle_gamma 90.00
loop_
_atom_site_label
_atom_site_fract_x
_atom_site_fract_y
_atom_site_fract_z
Cs1 0.250 0.250 0.250
Hg1 0.000 0.000 0.236
Rh1 0.000 0.000 0.500
# Calculated density ... 8.98 g/cm³
# E_tot ... -1.326 eV per atom
# Energy above the lowest structure with this stoichiometry ... 0.000 eV/atom

***

8.
# CoMoRu2 | the Alexandria database | PBE-GGA | relaxed
data_CoMoRu2
_symmetry_space_group_name_H-M 'I m m m'
_symmetry_Int_Tables_number 71
_symmetry_space_group_name_Hall '-I 2 2'
_cell_length_a 2.724
_cell_length_b 4.409
_cell_length_c 9.197
_cell_angle_alpha 90.00
_cell_angle_beta 90.00
_cell_angle_gamma 90.00
loop_
_atom_site_label
_atom_site_fract_x
_atom_site_fract_y
_atom_site_fract_z
Co1 0.000 0.000 0.000
Mo1 0.000 0.000 0.500
Ru1 0.000 0.500 0.278
# Calculated density ... 10.73 g/cm³
# E_tot ... -8.861 eV per atom
# Energy above the lowest structure with this stoichiometry ... 0.257 eV/atom

***

no.,total magnetization (μB/atom)
1,0.00
2,0.00
3,0.11
4,0.23
5,0.23
6,0.04
7,0.00
8,0.35